(1)
A relaxed structure of Pu3In4Au4, computed with PBE.

a b c (Å): 8.922 8.922 8.922
angles (deg): 151.25 128.43 60.11
Atoms (fractional coordinates):
Pu 0.000 0.000 0.000
Pu 0.386 0.886 0.500
Pu 0.614 0.114 0.500
In 0.028 0.329 0.699
In 0.370 0.671 0.699
In 0.630 0.329 0.301
In 0.972 0.671 0.301
Au 0.222 0.222 0.000
Au 0.308 0.500 0.808
Au 0.692 0.500 0.192
Au 0.778 0.778 0.000

Results
polymorph energy (0 for the lowest one)	0.0000	eV per atom
total magnetic moment	17.56	μB per formula unit
DFT total energy	-70.691	eV/f.u.
N(E_F)	3.874	states/eV per atom

***

(2)
A relaxed structure of Pu4In5Au2, computed with PBE.

a b c (Å): 8.094 3.139 10.573
angles (deg): 90.00 93.81 90.00
Atoms (fractional coordinates):
Pu 0.154 0.000 0.385
Pu 0.273 0.000 0.950
Pu 0.727 0.000 0.050
Pu 0.846 0.000 0.615
In 0.204 0.500 0.667
In 0.435 0.500 0.207
In 0.500 0.500 0.500
In 0.565 0.500 0.793
In 0.796 0.500 0.333
Au 0.055 0.500 0.136
Au 0.945 0.500 0.864

Results
total magnetic moment	22.75	μB per formula unit
DFT total energy	-80.750	eV/f.u.
N(E_F)	2.740	states/eV per atom

***

(3)
A relaxed structure of Pu6InAu5, computed with PBE.

a b c (Å): 8.774 8.774 7.989
angles (deg): 116.96 116.96 32.69
Atoms (fractional coordinates):
Pu 0.005 0.005 0.273
Pu 0.323 0.323 0.567
Pu 0.325 0.325 0.082
Pu 0.675 0.675 0.918
Pu 0.677 0.677 0.433
Pu 0.995 0.995 0.727
In 0.500 0.500 0.000
Au 0.149 0.149 0.142
Au 0.166 0.166 0.672
Au 0.500 0.500 0.500
Au 0.834 0.834 0.328
Au 0.851 0.851 0.858

Results
total magnetic moment	11.33	μB per formula unit
DFT total energy	-109.119	eV/f.u.
N(E_F)	4.796	states/eV per atom

***

(4)
A relaxed structure of PuIn3Au3, computed with PBE.

a b c (Å): 8.641 8.641 4.935
angles (deg): 90.00 90.00 120.00
Atoms (fractional coordinates):
Pu 0.333 0.667 0.250
Pu 0.667 0.333 0.750
In 0.013 0.242 0.750
In 0.229 0.987 0.750
In 0.242 0.229 0.250
In 0.758 0.771 0.750
In 0.771 0.013 0.250
In 0.987 0.758 0.250
Au 0.091 0.609 0.750
Au 0.391 0.482 0.750
Au 0.482 0.091 0.250
Au 0.518 0.909 0.750
Au 0.609 0.518 0.250
Au 0.909 0.391 0.250

Results
polymorph energy (0 for the lowest one)	0.0000	eV per atom
total magnetic moment	0.23	μB per formula unit
DFT total energy	-31.659	eV/f.u.
N(E_F)	1.815	states/eV per atom

***

(5)
A relaxed structure of Pu2In2Au15, computed with PBE.

a b c (Å): 7.391 7.391 7.391
angles (deg): 81.68 81.68 81.68
Atoms (fractional coordinates):
Pu 0.148 0.148 0.148
Pu 0.852 0.852 0.852
In 0.396 0.396 0.396
In 0.604 0.604 0.604
Au 0.000 0.500 0.500
Au 0.144 0.144 0.661
Au 0.144 0.661 0.144
Au 0.189 0.500 0.811
Au 0.189 0.811 0.500
Au 0.339 0.856 0.856
Au 0.500 0.000 0.500
Au 0.500 0.189 0.811
Au 0.500 0.500 0.000
Au 0.500 0.811 0.189
Au 0.661 0.144 0.144
Au 0.811 0.189 0.500
Au 0.811 0.500 0.189
Au 0.856 0.339 0.856
Au 0.856 0.856 0.339

Results
total magnetic moment	11.70	μB per formula unit
DFT total energy	-86.502	eV/f.u.
N(E_F)	2.231	states/eV per atom

***

(6)
A relaxed structure of PuInAu, computed with PBE.

a b c (Å): 6.619 6.619 6.619
angles (deg): 150.51 150.51 42.19
Atoms (fractional coordinates):
Pu 0.000 0.000 0.000
In 0.308 0.308 0.000
Au 0.664 0.664 0.000

Results
total magnetic moment	5.61	μB per formula unit
DFT total energy	-21.182	eV/f.u.
N(E_F)	2.949	states/eV per atom

***

(7)
A relaxed structure of PuInAu2, computed with PBE.

a b c (Å): 4.889 4.889 3.847
angles (deg): 90.00 90.00 90.00
Atoms (fractional coordinates):
Pu 0.000 0.000 0.000
In 0.500 0.500 0.000
Au 0.000 0.500 0.500
Au 0.500 0.000 0.500

Results
total magnetic moment	5.74	μB per formula unit
DFT total energy	-24.781	eV/f.u.
N(E_F)	3.447	states/eV per atom

***

(8)
A relaxed structure of PuIn2Au10, computed with PBE.

a b c (Å): 9.533 7.630 7.077
angles (deg): 80.72 52.18 47.10
Atoms (fractional coordinates):
Pu 0.000 0.000 0.000
In 0.000 0.500 0.000
In 0.500 0.000 0.500
Au 0.000 0.000 0.500
Au 0.005 0.664 0.336
Au 0.286 0.501 0.499
Au 0.336 0.995 0.005
Au 0.499 0.714 0.286
Au 0.500 0.500 0.000
Au 0.501 0.286 0.714
Au 0.664 0.005 0.995
Au 0.714 0.499 0.501
Au 0.995 0.336 0.664

Results
total magnetic moment	5.60	μB per formula unit
DFT total energy	-54.075	eV/f.u.
N(E_F)	1.674	states/eV per atom